# 1
{
  "formula": "BeFeCuAu2",
  "functional": "GGA-PBE",
  "state": "optimized geometry",
  "e_tot_ev_per_atom": -3.720,
  "spacegroup": "P4/mmm (123)",
  "lattice_angstrom": [[4.7436, 0.0000, 0.0000], [0.0000, 4.7436, 0.0000], [0.0000, 0.0000, 3.9113]],
  "species": ["Be", "Fe", "Cu", "Au", "Au"],
  "frac_coords": [[0.0000, 0.0000, 0.0000], [0.5000, 0.5000, 0.0000], [0.0000, 0.0000, 0.5000], [0.0000, 0.5000, 0.5000], [0.5000, 0.0000, 0.5000]]
}

***

# 2
{
  "formula": "Be2GaCu3Au3",
  "functional": "GGA-PBE",
  "state": "optimized geometry",
  "e_tot_ev_per_atom": -3.710,
  "spacegroup": "P-62m (189)",
  "lattice_angstrom": [[6.9974, 0.0000, 0.0000], [-3.4987, 6.0599, 0.0000], [0.0000, 0.0000, 2.8824]],
  "species": ["Be", "Be", "Ga", "Cu", "Cu", "Cu", "Au", "Au", "Au"],
  "frac_coords": [[0.3333, 0.6667, 0.0000], [0.6667, 0.3333, 0.0000], [0.0000, 0.0000, 0.5000], [0.0000, 0.6988, 0.0000], [0.3012, 0.3012, 0.0000], [0.6988, 0.0000, 0.0000], [0.0000, 0.3817, 0.5000], [0.3817, 0.0000, 0.5000], [0.6183, 0.6183, 0.5000]]
}

***

# 3
{
  "formula": "Be2Cu5GeAu2",
  "functional": "GGA-PBE",
  "state": "optimized geometry",
  "e_tot_ev_per_atom": -3.942,
  "spacegroup": "P4/mbm (127)",
  "lattice_angstrom": [[8.3305, 0.0000, 0.0000], [0.0000, 8.3305, 0.0000], [0.0000, 0.0000, 3.7285]],
  "species": ["Be", "Be", "Be", "Be", "Cu", "Cu", "Cu", "Cu", "Cu", "Cu", "Cu", "Cu", "Cu", "Cu", "Ge", "Ge", "Au", "Au", "Au", "Au"],
  "frac_coords": [[0.1174, 0.3826, 0.0000], [0.3826, 0.8826, 0.0000], [0.6174, 0.1174, 0.0000], [0.8826, 0.6174, 0.0000], [0.0000, 0.5000, 0.5000], [0.0775, 0.2058, 0.5000], [0.2058, 0.9225, 0.5000], [0.2942, 0.4225, 0.5000], [0.4225, 0.7058, 0.5000], [0.5000, 0.0000, 0.5000], [0.5775, 0.2942, 0.5000], [0.7058, 0.5775, 0.5000], [0.7942, 0.0775, 0.5000], [0.9225, 0.7942, 0.5000], [0.0000, 0.0000, 0.0000], [0.5000, 0.5000, 0.0000], [0.1728, 0.6728, 0.0000], [0.3272, 0.1728, 0.0000], [0.6728, 0.8272, 0.0000], [0.8272, 0.3272, 0.0000]]
}

***

# 4
{
  "formula": "LaBeCu2Au",
  "functional": "GGA-PBE",
  "state": "optimized geometry",
  "e_tot_ev_per_atom": -4.203,
  "spacegroup": "P4/mmm (123)",
  "lattice_angstrom": [[4.4422, 0.0000, 0.0000], [0.0000, 4.4422, 0.0000], [0.0000, 0.0000, 4.5778]],
  "species": ["La", "Be", "Cu", "Cu", "Au"],
  "frac_coords": [[0.0000, 0.0000, 0.0000], [0.5000, 0.5000, 0.5000], [0.0000, 0.5000, 0.5000], [0.5000, 0.0000, 0.5000], [0.5000, 0.5000, 0.0000]]
}

***

# 5
{
  "formula": "La2Be3Cu12Au",
  "functional": "GGA-PBE",
  "state": "optimized geometry",
  "e_tot_ev_per_atom": -3.793,
  "spacegroup": "R-3m (166)",
  "lattice_angstrom": [[3.7523, 2.1664, 6.2518], [-3.7523, 2.1664, 6.2518], [0.0000, -4.3328, 6.2518]],
  "species": ["La", "La", "Be", "Be", "Be", "Cu", "Cu", "Cu", "Cu", "Cu", "Cu", "Cu", "Cu", "Cu", "Cu", "Cu", "Cu", "Au"],
  "frac_coords": [[0.1075, 0.1075, 0.1075], [0.8925, 0.8925, 0.8925], [0.0000, 0.5000, 0.5000], [0.5000, 0.0000, 0.5000], [0.5000, 0.5000, 0.0000], [0.0915, 0.6249, 0.6249], [0.1623, 0.1623, 0.6034], [0.1623, 0.6034, 0.1623], [0.3751, 0.3751, 0.9085], [0.3751, 0.9085, 0.3751], [0.3966, 0.8377, 0.8377], [0.6034, 0.1623, 0.1623], [0.6249, 0.0915, 0.6249], [0.6249, 0.6249, 0.0915], [0.8377, 0.3966, 0.8377], [0.8377, 0.8377, 0.3966], [0.9085, 0.3751, 0.3751], [0.5000, 0.5000, 0.5000]]
}

***

# 6
{
  "formula": "LaBeCuAu2",
  "functional": "GGA-PBE",
  "state": "optimized geometry",
  "e_tot_ev_per_atom": -4.209,
  "spacegroup": "P4/mmm (123)",
  "lattice_angstrom": [[4.6547, 0.0000, 0.0000], [0.0000, 4.6547, 0.0000], [0.0000, 0.0000, 4.4442]],
  "species": ["La", "Be", "Cu", "Au", "Au"],
  "frac_coords": [[0.0000, 0.0000, 0.0000], [0.5000, 0.5000, 0.5000], [0.5000, 0.5000, 0.0000], [0.0000, 0.5000, 0.5000], [0.5000, 0.0000, 0.5000]]
}

***

What are the formation energy values for these records? In order: 848 -88 -31 -179 288 -348 meV/atom.